Model P:
The following is a DFT calculation (PBE) of crystalline LiSi2Hg2 at its relaxed geometry.

Geometry as POSCAR:
```
LiSi2Hg2
1.0
-1.6424 3.0141 0.2860
-2.9651 -1.6671 0.5409
-0.8032 0.7023 8.7274
Si Hg Li
2 2 1
direct
0.7500 0.2500 0.5000
0.2500 0.7500 0.5000
0.4013 0.4013 0.1975
0.5987 0.5987 0.8025
0.0000 0.0000 0.0000
```


Model Q:
The following is a DFT calculation (PBE) of crystalline LiSi2Hg2 at its relaxed geometry.

Geometry as POSCAR:
```
LiSi2Hg2
1.0
7.0468 0.0000 0.0000
0.0000 7.0468 0.0000
0.0000 0.0000 4.0096
Si Hg Li
4 4 2
direct
0.3823 0.8823 0.0000
0.8823 0.6177 0.0000
0.6177 0.1177 0.0000
0.1177 0.3823 0.0000
0.1949 0.6949 0.5000
0.6949 0.8051 0.5000
0.8051 0.3051 0.5000
0.3051 0.1949 0.5000
0.0000 0.0000 0.0000
0.5000 0.5000 0.0000
```


Model R:
The following is a DFT calculation (PBE) of crystalline LiSi2Hg2 at its relaxed geometry.

Geometry as POSCAR:
```
LiSi2Hg2
1.0
7.4107 0.0000 0.0000
0.0000 7.4107 0.0000
0.0000 0.0000 3.7798
Si Hg Li
4 4 2
direct
0.1168 0.6168 0.5000
0.6168 0.8832 0.5000
0.8832 0.3832 0.5000
0.3832 0.1168 0.5000
0.3162 0.8162 0.0000
0.8162 0.6838 0.0000
0.6838 0.1838 0.0000
0.1838 0.3162 0.0000
0.0000 0.0000 0.0000
0.5000 0.5000 0.0000
```


Model S:
The following is a DFT calculation (PBE) of crystalline LiSi2Hg2 at its relaxed geometry.

Geometry as POSCAR:
```
LiSi2Hg2
1.0
-1.7531 -0.9261 -4.0893
3.5958 -2.6117 -0.9501
-1.5749 -5.9385 -0.5053
Si Hg Li
2 2 1
direct
0.3918 0.3918 0.2165
0.6082 0.6082 0.7835
0.7500 0.2500 0.5000
0.2500 0.7500 0.5000
0.0000 0.0000 0.0000
```


Which one is most stable, and which one is least stable? model P is the most stable of them, while model R is the least stable.


Model P:
The following is a DFT calculation (PBE) of crystalline Li8SiHg2 at its relaxed geometry.

Geometry as POSCAR:
```
Li8SiHg2
1.0
-4.2362 -0.7270 -0.7458
-0.6884 -2.1275 5.9840
0.9541 7.2575 0.2638
Li Si Hg
8 1 2
direct
0.4047 0.5755 0.8095
0.6649 0.8977 0.3298
0.8540 0.8241 0.7081
0.9704 0.2384 0.9407
0.1460 0.1759 0.2919
0.3351 0.1023 0.6702
0.5953 0.4245 0.1905
0.0296 0.7616 0.0593
0.5000 0.0000 0.0000
0.7908 0.3452 0.5816
0.2092 0.6548 0.4184
```


Model Q:
The following is a DFT calculation (PBE) of crystalline Li8SiHg2 at its relaxed geometry.

Geometry as POSCAR:
```
Li8SiHg2
1.0
4.2690 0.0487 -1.2720
-0.8942 6.3493 -2.7520
-0.0784 -0.6078 7.4766
Li Si Hg
8 1 2
direct
0.6361 0.1718 0.9090
0.9901 0.0266 0.6166
0.2829 0.3201 0.2022
0.7490 0.9770 0.1362
0.3269 0.8905 0.2928
0.9456 0.5058 0.5247
0.1361 0.5245 0.9089
0.5240 0.7495 0.6823
0.1365 0.9092 0.9092
0.7890 0.6167 0.2173
0.4838 0.3083 0.6008
```


Which one is most stable, and which one is least stable? model P is the most stable of them, while model Q is the least stable.


Model P:
The following is a DFT calculation (PBE) of crystalline Li3SiHg at its relaxed geometry.

Geometry as POSCAR:
```
Li3SiHg
1.0
-3.0031 -3.6872 0.8480
2.5986 -2.7970 -2.9592
2.7499 -1.3835 3.7225
Si Hg Li
1 1 3
direct
0.5000 0.5000 0.5000
0.0000 0.0000 0.0000
0.0000 0.5000 0.0000
0.0000 0.0000 0.5000
0.5000 0.0000 0.0000
```


Model Q:
The following is a DFT calculation (PBE) of crystalline Li3SiHg at its relaxed geometry.

Geometry as POSCAR:
```
Li3SiHg
1.0
-3.5144 -3.2681 -0.5819
0.6436 -1.5022 4.5496
-3.2565 3.2300 1.5272
Si Hg Li
1 1 3
direct
0.0000 0.0000 0.0000
0.5000 0.5000 0.5000
0.0000 0.5000 0.0000
0.0000 0.0000 0.5000
0.5000 0.0000 0.0000
```


Which one is most stable, and which one is least stable? model Q is the most stable of them, while model P is the least stable.


Model P:
The following is a DFT calculation (PBE) of crystalline Li2Si2Hg at its relaxed geometry.

Geometry as POSCAR:
```
Li2Si2Hg
1.0
-6.6845 -4.0068 1.4148
2.9665 -6.2886 -3.7938
1.0569 -0.9282 2.3649
Si Hg Li
4 2 4
direct
0.3961 0.8961 0.0000
0.8961 0.6039 0.0000
0.6039 0.1039 0.0000
0.1039 0.3961 0.0000
0.0000 0.0000 0.0000
0.5000 0.5000 0.0000
0.1922 0.6922 0.5000
0.6922 0.8078 0.5000
0.8078 0.3078 0.5000
0.3078 0.1922 0.5000
```


Model Q:
The following is a DFT calculation (PBE) of crystalline Li2Si2Hg at its relaxed geometry.

Geometry as POSCAR:
```
Li2Si2Hg
1.0
3.9353 0.0000 0.0000
0.0000 3.9353 0.0000
1.9677 1.9677 5.8145
Si Hg Li
2 1 2
direct
0.4037 0.4037 0.1926
0.5963 0.5963 0.8074
0.0000 0.0000 0.0000
0.7500 0.2500 0.5000
0.2500 0.7500 0.5000
```


Which one is most stable, and which one is least stable? model P is the most stable of them, while model Q is the least stable.


Model P:
The following is a DFT calculation (PBE) of crystalline LiTiSiHg2 at its relaxed geometry.

Geometry as POSCAR:
```
LiTiSiHg2
1.0
4.9885 0.0000 0.0000
0.0000 4.7642 0.0000
0.0000 0.0000 4.9885
Si Li Hg Ti
1 1 2 1
direct
0.0000 0.0000 0.0000
0.5000 0.5000 0.5000
0.0000 0.0000 0.5000
0.5000 0.0000 0.0000
0.0000 0.5000 0.0000
```


Model Q:
The following is a DFT calculation (PBE) of crystalline LiTiSiHg2 at its relaxed geometry.

Geometry as POSCAR:
```
LiTiSiHg2
1.0
4.6097 0.0000 0.0000
0.0000 4.5281 0.0000
0.0000 0.0000 4.6097
Si Li Hg Ti
1 1 2 1
direct
0.0000 0.5000 0.0000
0.0000 0.0000 0.0000
0.0000 0.0000 0.5000
0.5000 0.0000 0.0000
0.5000 0.5000 0.5000
```


Which one is most stable, and which one is least stable? model P is the most stable of them, while model Q is the least stable.


Model P:
The following is a DFT calculation (PBE) of crystalline LiSmHg at its relaxed geometry.

Geometry as POSCAR:
```
LiSmHg
1.0
3.4005 0.0000 0.0000
0.0000 4.9019 0.0000
0.0000 -2.4510 4.2452
Hg Sm Li
1 1 1
direct
0.1676 0.3333 0.6667
0.6668 0.6667 0.3333
0.1656 0.0000 0.0000
```


Model Q:
The following is a DFT calculation (PBE) of crystalline LiSmHg at its relaxed geometry.

Geometry as POSCAR:
```
LiSmHg
1.0
-0.8555 0.0942 -4.7348
-1.9873 -6.9824 0.2202
-4.9521 5.2185 0.9986
Li Sm Hg
3 3 3
direct
0.0000 0.7690 0.7690
0.0000 0.0000 0.2310
0.0000 0.2310 0.0000
0.5000 0.4260 0.4260
0.5000 0.0000 0.5740
0.5000 0.5739 0.0000
0.0000 0.3333 0.6667
0.0000 0.6667 0.3333
0.5000 0.0000 0.0000
```


Model R:
The following is a DFT calculation (PBE) of crystalline LiSmHg at its relaxed geometry.

Geometry as POSCAR:
```
LiSmHg
1.0
5.3218 0.0000 0.0000
0.0000 3.4011 0.0000
-2.6609 -1.7006 8.6706
Li Sm Hg
2 2 2
direct
0.2520 0.5000 0.0000
0.7480 0.5000 0.0000
0.3289 0.8289 0.6579
0.6711 0.1711 0.3421
0.8600 0.3600 0.7200
0.1400 0.6400 0.2800
```


Model S:
The following is a DFT calculation (PBE) of crystalline LiSmHg at its relaxed geometry.

Geometry as POSCAR:
```
LiSmHg
1.0
-0.0416 0.6695 4.8407
-8.1238 -2.5805 0.2871
2.0438 -6.3348 0.8937
Sm Hg Li
4 4 4
direct
0.2500 0.7775 0.4960
0.7500 0.2775 0.0040
0.2500 0.7225 0.9960
0.7500 0.2225 0.5040
0.7500 0.9160 0.2240
0.7500 0.5840 0.7240
0.2500 0.0840 0.7760
0.2500 0.4160 0.2760
0.7500 0.5825 0.2915
0.7500 0.9175 0.7915
0.2500 0.0825 0.2085
0.2500 0.4175 0.7085
```


Which one is most stable, and which one is least stable? model Q is the most stable of them, while model R is the least stable.


Model P:
The following is a DFT calculation (PBE) of crystalline LiSm3Hg4 at its relaxed geometry.

Geometry as POSCAR:
```
LiSm3Hg4
1.0
4.9999 0.0000 1.4759
2.2821 4.4487 1.4759
-0.0133 -0.0081 9.2520
Hg Sm Li
4 3 1
direct
0.8786 0.8786 0.3643
0.3738 0.3738 0.8786
0.1214 0.1214 0.6357
0.6262 0.6262 0.1214
0.2556 0.2556 0.2332
0.7444 0.7444 0.7668
0.5000 0.5000 0.5000
0.0000 0.0000 0.0000
```


Model Q:
The following is a DFT calculation (PBE) of crystalline LiSm3Hg4 at its relaxed geometry.

Geometry as POSCAR:
```
LiSm3Hg4
1.0
3.6608 0.0000 0.0000
0.0000 7.1517 0.0000
-1.8304 -3.5758 8.4985
Li Sm Hg
1 3 4
direct
0.5000 0.0000 0.0000
0.2213 0.2213 0.4426
0.7787 0.7787 0.5574
0.0000 0.5000 0.0000
0.3800 0.1489 0.7599
0.6200 0.8511 0.2401
0.6200 0.3890 0.2401
0.3800 0.6110 0.7599
```


Which one is most stable, and which one is least stable? model P is the most stable of them, while model Q is the least stable.


Model P:
The following is a DFT calculation (PBE) of crystalline LiSm2Hg3 at its relaxed geometry.

Geometry as POSCAR:
```
LiSm2Hg3
1.0
5.1983 0.0000 0.0000
-2.5991 4.5018 0.0000
0.0000 0.0000 12.8173
Li Sm Hg
2 4 6
direct
0.3333 0.6667 0.6636
0.6667 0.3333 0.3364
0.0000 0.0000 0.5000
0.3333 0.6667 0.1828
0.6667 0.3333 0.8172
0.0000 0.0000 0.0000
0.3333 0.6667 0.4254
0.6667 0.3333 0.0930
0.0000 0.0000 0.7436
0.0000 0.0000 0.2564
0.3333 0.6667 0.9070
0.6667 0.3333 0.5746
```


Model Q:
The following is a DFT calculation (PBE) of crystalline LiSm2Hg3 at its relaxed geometry.

Geometry as POSCAR:
```
LiSm2Hg3
1.0
5.8894 1.2606 0.0000
0.8953 5.9558 0.0000
-3.3923 -3.6082 8.5868
Li Sm Hg
2 4 6
direct
0.6670 0.6670 0.3339
0.3330 0.3330 0.6661
0.7500 0.2500 0.5000
0.7550 0.2450 0.0000
0.2500 0.7500 0.5000
0.2450 0.7550 0.0000
0.8238 0.8238 0.1740
0.6498 0.6498 0.8260
0.1762 0.1762 0.8260
0.3502 0.3502 0.1740
0.1739 0.1739 0.3479
0.8261 0.8261 0.6521
```


Which one is most stable, and which one is least stable? model P is the most stable of them, while model Q is the least stable.


Model P:
The following is a DFT calculation (PBE) of crystalline LiSm2Hg4 at its relaxed geometry.

Geometry as POSCAR:
```
LiSm2Hg4
1.0
4.7859 0.0000 0.0000
0.0000 4.7859 0.0000
-2.3929 -2.3929 7.9649
Li Sm Hg
1 2 4
direct
0.0000 0.0000 0.0000
0.6400 0.6400 0.2799
0.3600 0.3600 0.7201
0.8328 0.8328 0.6656
0.1672 0.1672 0.3344
0.0000 0.5000 0.0000
0.5000 0.0000 0.0000
```


Model Q:
The following is a DFT calculation (PBE) of crystalline LiSm2Hg4 at its relaxed geometry.

Geometry as POSCAR:
```
LiSm2Hg4
1.0
-3.5898 3.4447 0.1001
-2.7786 0.5800 4.0873
3.5419 7.1570 4.4215
Li Sm Hg
1 2 4
direct
0.0000 0.0000 0.0000
0.7501 0.7501 0.7497
0.2499 0.2499 0.2503
0.8710 0.8710 0.3871
0.1290 0.1290 0.6129
0.6303 0.6303 0.1092
0.3697 0.3697 0.8908
```


Which one is most stable, and which one is least stable? model Q is the most stable of them, while model P is the least stable.


Model P:
The following is a DFT calculation (PBE) of crystalline LiSmHg3 at its relaxed geometry.

Geometry as POSCAR:
```
LiSmHg3
1.0
5.0915 0.0000 -0.1976
0.0000 3.6161 0.0000
-2.9989 -1.8080 13.2919
Li Sm Hg
2 2 6
direct
0.4549 0.1384 0.2769
0.5451 0.8616 0.7231
0.1509 0.4310 0.8620
0.8491 0.5690 0.1380
0.6996 0.9648 0.9295
0.3004 0.0352 0.0705
0.6445 0.7202 0.4403
0.3555 0.2798 0.5597
0.9932 0.8286 0.6573
0.0068 0.1714 0.3427
```


Model Q:
The following is a DFT calculation (PBE) of crystalline LiSmHg3 at its relaxed geometry.

Geometry as POSCAR:
```
LiSmHg3
1.0
-4.2129 -1.0375 2.2276
-0.6311 -3.8161 -2.9708
2.3749 -2.8544 3.1621
Hg Sm Li
3 1 1
direct
0.0000 0.5000 0.0000
0.0000 0.0000 0.5000
0.5000 0.0000 0.0000
0.5000 0.5000 0.5000
0.0000 0.0000 0.0000
```


Which one is most stable, and which one is least stable? model P is the most stable of them, while model Q is the least stable.